VASP calculation (meta-GGA SCAN) on a PBEsol-optimized structure of LaOsBr3.

* calculated density: 7.74 g/cm³
* energy relative to the elements, uncorrected: -10.1 kJ per mole of atoms
* size of the total moment: 0.2 μB/f.u.
* Fermi-level density of states: 3.17 states/eV/cell
* polymorph energy (0 for the lowest one): 0 kJ/mol of formula units
* symmetry: No. 221

a b c (Å): 4.9595 4.9595 4.9595
angles (deg): 90.00 90.00 90.00
Last column: nearest neighbours and their distance in Å.
Fractional positions:
La: 0.0000 0.0000 0.0000  12 Br 3.51
Os: 0.5000 0.5000 0.5000  6 Br 2.48
Br: 0.0000 0.5000 0.5000  2 Os 2.48
Br: 0.5000 0.0000 0.5000  2 Os 2.48
Br: 0.5000 0.5000 0.0000  2 Os 2.48


VASP calculation (meta-GGA SCAN) on a PBEsol-optimized structure of La2PBr.

* calculated density: 5.99 g/cm³
* energy relative to the elements, uncorrected: -115.7 kJ per mole of atoms
* size of the total moment: 0.0 μB/f.u.
* Fermi-level density of states: 5.75 states/eV/cell
* symmetry: No. 119

a b c (Å): 4.1832 4.1832 12.3138
angles (deg): 90.00 90.00 90.00
Last column: nearest neighbours and their distance in Å.
Fractional positions:
La: 0.0000 0.0000 0.0000  4 P 2.96
La: 0.0000 0.5000 0.2500  4 Br 2.96
La: 0.5000 0.0000 0.7500  4 Br 2.96
La: 0.5000 0.5000 0.5000  4 P 2.96
P: 0.0000 0.0000 0.5000  4 La 2.96
P: 0.5000 0.5000 0.0000  4 La 2.96
Br: 0.0000 0.5000 0.7500  4 La 2.96
Br: 0.5000 0.0000 0.2500  4 La 2.96


VASP calculation (meta-GGA SCAN) on a PBEsol-optimized structure of LaPBr2.

* calculated density: 5.50 g/cm³
* energy relative to the elements, uncorrected: -77.4 kJ per mole of atoms
* size of the total moment: 2.1 μB/f.u.
* Fermi-level density of states: 1.31 states/eV/cell
* polymorph energy (0 for the lowest one): 0 kJ/mol of formula units
* symmetry: No. 123

a b c (Å): 3.9174 3.9174 6.4869
angles (deg): 90.00 90.00 90.00
Last column: nearest neighbours and their distance in Å.
Fractional positions:
La: 0.0000 0.0000 0.0000  8 Br 3.17, 2 P 3.24
P: 0.0000 0.0000 0.5000  2 La 3.24, 8 Br 3.25
Br: 0.5000 0.5000 0.2390  2 Br 3.10-3.39, 4 La 3.17, 4 P 3.25
Br: 0.5000 0.5000 0.7610  2 Br 3.10-3.39, 4 La 3.17, 4 P 3.25


VASP calculation (meta-GGA SCAN) on a PBEsol-optimized structure of LaPBr.

* calculated density: 5.14 g/cm³
* energy relative to the elements, uncorrected: -79.6 kJ per mole of atoms
* size of the total moment: 0.6 μB/f.u.
* Fermi-level density of states: 12.73 states/eV/cell
* symmetry: No. 216

a b c (Å): 6.8592 6.8592 6.8592
angles (deg): 90.00 90.00 90.00
Last column: nearest neighbours and their distance in Å.
Fractional positions:
La: 0.0000 0.0000 0.0000  4 P 2.97
La: 0.0000 0.5000 0.5000  4 P 2.97
La: 0.5000 0.0000 0.5000  4 P 2.97
La: 0.5000 0.5000 0.0000  4 P 2.97
P: 0.2500 0.2500 0.2500  4 La 2.97, 4 Br 2.97
P: 0.2500 0.7500 0.7500  4 La 2.97, 4 Br 2.97
P: 0.7500 0.2500 0.7500  4 La 2.97, 4 Br 2.97
P: 0.7500 0.7500 0.2500  4 La 2.97, 4 Br 2.97
Br: 0.0000 0.0000 0.5000  4 P 2.97
Br: 0.0000 0.5000 0.0000  4 P 2.97
Br: 0.5000 0.0000 0.0000  4 P 2.97
Br: 0.5000 0.5000 0.5000  4 P 2.97